# 1
# PCl

Crystalline PCl at its relaxed geometry (PBE, Alexandria).

- Volume: 40.17 A^3/atom
- ΔE_f (raw): 0.052 eV/atom
- Space group: P4_2/mnm (136)
- Energy relative to the lowest polymorph listed for this composition: 411 meV per atom
- E_tot: -3.58 eV per atom
- Spin magnetization: 0.0 μB per formula unit

Cell lengths 8.2762, 8.2762, 4.6914 Å; angles 90.00, 90.00, 90.00 degrees
Closest atoms and distances in Å follow each position.
Positions (direct):
P: 0.9120 0.9120 0.5000  1 P 2.06
Cl: 0.8640 0.8640 0.0000  2 P 2.41
P: 0.4120 0.5880 0.0000  1 P 2.06
Cl: 0.6360 0.3640 0.5000  2 P 2.41
Cl: 0.1360 0.1360 0.0000  2 P 2.41
P: 0.0880 0.0880 0.5000  1 P 2.06
P: 0.5880 0.4120 0.0000  1 P 2.06
Cl: 0.3640 0.6360 0.5000  2 P 2.41

# 2
# PCl

Crystalline PCl at its relaxed geometry (PBE, Alexandria).

- Volume: 43.81 A^3/atom
- ΔE_f (raw): -0.107 eV/atom
- Space group: Pmmn (59)
- Energy relative to the lowest polymorph listed for this composition: 252 meV per atom
- E_tot: -3.73 eV per atom
- Spin magnetization: 0.0 μB per formula unit

Cell lengths 4.8004, 10.1783, 10.7591 Å; angles 90.00, 90.00, 90.00 degrees
Closest atoms and distances in Å follow each position.
Positions (direct):
Cl: 0.5000 0.4979 0.0000  2 P 2.45
P: 0.5000 0.0405 0.9117  1 P 1.90
P: 0.5000 0.0405 0.0883  1 P 1.90
P: 0.0000 0.9595 0.4117  1 P 1.90
Cl: 0.0000 0.6710 0.1479  1 P 2.05
Cl: 0.0000 0.6710 0.8521  1 P 2.05
P: 0.5000 0.4553 0.5000  2 Cl 2.05
Cl: 0.5000 0.3290 0.3521  1 P 2.05
P: 0.0000 0.5447 0.0000  2 Cl 2.05
Cl: 0.5000 0.3290 0.6479  1 P 2.05
P: 0.0000 0.9595 0.5883  1 P 1.90
Cl: 0.0000 0.5021 0.5000  2 P 2.45

# 3
# PCl4

Crystalline PCl4 at its relaxed geometry (PBE, Alexandria).

- Volume: 22.63 A^3/atom
- ΔE_f (raw): 0.309 eV/atom
- Space group: Im-3m (229)
- Energy relative to the lowest polymorph listed for this composition: 831 meV per atom
- E_tot: -2.25 eV per atom
- Spin magnetization: 0.0 μB per formula unit

Cell lengths 5.2778, 5.2778, 5.2778 Å; angles 109.47, 109.47, 109.47 degrees
Closest atoms and distances in Å follow each position.
Positions (direct):
Cl: 0.0000 0.5000 0.0000  2 P 2.64
Cl: 0.5000 0.0000 0.0000  2 P 2.64
P: 0.0000 0.0000 0.0000  8 Cl 2.64
Cl: 0.5000 0.5000 0.5000  2 P 2.64
Cl: 0.0000 0.0000 0.5000  2 P 2.64

# 4
# P3Cl4

Crystalline P3Cl4 at its relaxed geometry (PBE, Alexandria).

- Volume: 24.17 A^3/atom
- ΔE_f (raw): 0.075 eV/atom
- Space group: I4/mmm (139)
- E_tot: -3.30 eV per atom
- Spin magnetization: 0.7 μB per formula unit

Cell lengths 14.4831, 14.4831, 14.4831 Å; angles 166.35, 166.35, 19.35 degrees
Closest atoms and distances in Å follow each position.
Positions (direct):
P: 0.2462 0.2462 0.0000  1 Cl 2.05
Cl: 0.4475 0.4475 0.0000  4 P 2.86, 1 Cl 3.00
P: 0.0000 0.0000 0.0000  8 Cl 2.86
Cl: 0.8256 0.8256 0.0000  1 P 2.05
Cl: 0.5525 0.5525 0.0000  4 P 2.86, 1 Cl 3.00
Cl: 0.1744 0.1744 0.0000  1 P 2.05
P: 0.7538 0.7538 0.0000  1 Cl 2.05

# 5
# PCl

Crystalline PCl at its relaxed geometry (PBE, Alexandria).

- Volume: 20.57 A^3/atom
- ΔE_f (raw): 0.991 eV/atom
- Space group: Fm-3m (225)
- Energy relative to the lowest polymorph listed for this composition: 1349 meV per atom
- E_tot: -2.64 eV per atom
- Spin magnetization: 0.0 μB per formula unit

Cell lengths 5.4802, 5.4802, 5.4802 Å; angles 90.00, 90.00, 90.00 degrees
Closest atoms and distances in Å follow each position.
Positions (direct):
Cl: 0.0000 0.0000 0.5000  6 P 2.74
P: 0.5000 0.5000 0.0000  6 Cl 2.74
Cl: 0.5000 0.5000 0.5000  6 P 2.74
P: 0.0000 0.0000 0.0000  6 Cl 2.74
P: 0.0000 0.5000 0.5000  6 Cl 2.74
Cl: 0.0000 0.5000 0.0000  6 P 2.74
Cl: 0.5000 0.0000 0.0000  6 P 2.74
P: 0.5000 0.0000 0.5000  6 Cl 2.74

# 6
# PCl3

Crystalline PCl3 at its relaxed geometry (PBE, Alexandria).

- Volume: 19.35 A^3/atom
- ΔE_f (raw): 0.831 eV/atom
- Space group: P4/mmm (123)
- E_tot: -1.91 eV per atom
- Spin magnetization: 0.0 μB per formula unit

Cell lengths 4.4164, 4.4164, 3.9674 Å; angles 90.00, 90.00, 90.00 degrees
Closest atoms and distances in Å follow each position.
Positions (direct):
Cl: 0.5000 0.0000 0.5000  8 Cl 2.97, 4 P 3.12
P: 0.0000 0.5000 0.5000  12 Cl 2.97-3.12
Cl: 0.0000 0.0000 0.0000  4 P 2.97, 8 Cl 2.97-3.12
Cl: 0.5000 0.5000 0.0000  8 Cl 2.97-3.12, 4 P 2.97

# 7
# PCl4

Crystalline PCl4 at its relaxed geometry (PBE, Alexandria).

- Volume: 22.17 A^3/atom
- ΔE_f (raw): 0.072 eV/atom
- Space group: Pm-3m (221)
- Energy relative to the lowest polymorph listed for this composition: 594 meV per atom
- E_tot: -2.49 eV per atom
- Spin magnetization: 1.0 μB per formula unit

Cell lengths 4.8038, 4.8038, 4.8038 Å; angles 90.00, 90.00, 90.00 degrees
Closest atoms and distances in Å follow each position.
Positions (direct):
P: 0.5000 0.5000 0.5000  6 Cl 2.40
Cl: 0.0000 0.0000 0.0000  12 Cl 3.40
Cl: 0.5000 0.5000 0.0000  2 P 2.40
Cl: 0.0000 0.5000 0.5000  2 P 2.40
Cl: 0.5000 0.0000 0.5000  2 P 2.40

# 8
# PCl

Crystalline PCl at its relaxed geometry (PBE, Alexandria).

- Volume: 24.35 A^3/atom
- ΔE_f (raw): 0.118 eV/atom
- Space group: I4mm (107)
- Energy relative to the lowest polymorph listed for this composition: 477 meV per atom
- E_tot: -3.51 eV per atom
- Spin magnetization: 0.0 μB per formula unit

Cell lengths 3.0092, 3.0092, 10.7583 Å; angles 90.00, 90.00, 90.00 degrees
Closest atoms and distances in Å follow each position.
Positions (direct):
P: 0.0000 0.0000 0.2554  1 Cl 2.01
Cl: 0.5000 0.5000 0.9419  1 P 2.01
Cl: 0.0000 0.0000 0.4419  1 P 2.01
P: 0.5000 0.5000 0.7554  1 Cl 2.01

# 9
# PCl4

Crystalline PCl4 at its relaxed geometry (PBE, Alexandria).

- Volume: 36.81 A^3/atom
- ΔE_f (raw): 0.538 eV/atom
- Space group: I4/mmm (139)
- Energy relative to the lowest polymorph listed for this composition: 1060 meV per atom
- E_tot: -2.02 eV per atom
- Spin magnetization: 1.0 μB per formula unit

Cell lengths 6.2079, 6.2079, 6.2079 Å; angles 110.32, 110.32, 107.79 degrees
Closest atoms and distances in Å follow each position.
Positions (direct):
Cl: 0.7186 0.7186 0.0000  1 P 2.06
Cl: 0.2814 0.2814 0.0000  1 P 2.06
Cl: 0.2500 0.7500 0.5000  6 Cl 3.55-3.66
Cl: 0.7500 0.2500 0.5000  6 Cl 3.55-3.66
P: 0.0000 0.0000 0.0000  2 Cl 2.06

# 10
# PCl

Crystalline PCl at its relaxed geometry (PBE, Alexandria).

- Volume: 32.80 A^3/atom
- ΔE_f (raw): -0.345 eV/atom
- Space group: P2_1 (4)
- Energy relative to the lowest polymorph listed for this composition: 14 meV per atom
- E_tot: -3.97 eV per atom
- Spin magnetization: 0.0 μB per formula unit

Cell lengths 5.2202, 3.4037, 7.6999 Å; angles 90.00, 106.46, 90.00 degrees
Closest atoms and distances in Å follow each position.
Positions (direct):
P: 0.0905 0.0946 0.4357  1 Cl 2.08, 2 P 2.30
P: 0.9095 0.5946 0.5643  1 Cl 2.08, 2 P 2.30
Cl: 0.2064 0.6524 0.8082  1 P 2.08
Cl: 0.7936 0.1524 0.1918  1 P 2.08

# 11
# P2Cl

Crystalline P2Cl at its relaxed geometry (PBE, Alexandria).

- Volume: 21.00 A^3/atom
- ΔE_f (raw): 0.514 eV/atom
- Space group: P6/mmm (191)
- Energy relative to the lowest polymorph listed for this composition: 728 meV per atom
- E_tot: -3.71 eV per atom
- Spin magnetization: 0.0 μB per formula unit

Cell lengths 3.9165, 3.9165, 4.7419 Å; angles 90.00, 90.00, 120.00 degrees
Closest atoms and distances in Å follow each position.
Positions (direct):
P: 0.3333 0.6667 0.5000  3 P 2.26
Cl: 0.0000 0.0000 0.0000  12 P 3.28
P: 0.6667 0.3333 0.5000  3 P 2.26

# 12
# PCl

Crystalline PCl at its relaxed geometry (PBE, Alexandria).

- Volume: 22.97 A^3/atom
- ΔE_f (raw): 0.235 eV/atom
- Space group: P4/nmm (129)
- Energy relative to the lowest polymorph listed for this composition: 593 meV per atom
- E_tot: -3.39 eV per atom
- Spin magnetization: 0.0 μB per formula unit

Cell lengths 3.4239, 3.4239, 7.8368 Å; angles 90.00, 90.00, 90.00 degrees
Closest atoms and distances in Å follow each position.
Positions (direct):
Cl: 0.7500 0.7500 0.7241  4 P 2.76
P: 0.2500 0.7500 0.0000  4 P 2.42
P: 0.7500 0.2500 0.0000  4 P 2.42
Cl: 0.2500 0.2500 0.2759  4 P 2.76